The following is a DFT calculation (GGA-PBE) of Ba8As5 after structural relaxation.

a b c (Å): 9.649 9.649 9.157
angles (deg): 103.39 107.24 119.93
Sites, in units of the cell vectors:
As: 0.240 0.740 0.500
As: 0.284 0.286 0.570
As: 0.000 0.000 0.000
As: 0.716 0.714 0.430
Ba: 0.197 0.537 0.734
Ba: 0.276 0.441 0.278
Ba: 0.163 0.999 0.722
Ba: 0.303 0.003 0.306
Ba: 0.803 0.463 0.266
Ba: 0.697 0.997 0.694
As: 0.760 0.260 0.500
Ba: 0.837 0.001 0.278
Ba: 0.724 0.559 0.722

## Properties
For the calculated formation energy, the calculation gives -95 kJ/mol of atoms. For the magnetic moment, the calculation gives 0.05 μB/atom.

The following is a DFT calculation (GGA-PBE) of Ba3As after structural relaxation.

a b c (Å): 4.652 4.652 11.764
angles (deg): 90.00 90.00 120.00
Sites, in units of the cell vectors:
As: 0.000 0.000 0.000
Ba: 0.667 0.333 0.842
Ba: 0.667 0.333 0.158
Ba: 0.000 0.000 0.500

## Properties
For the calculated formation energy, the calculation gives -53 kJ/mol of atoms. As for the energy above the most stable polymorph in this dataset: 64 meV per atom. For the magnetic moment, the calculation gives 0.25 μB/atom.

The following is a DFT calculation (GGA-PBE) of Ba3As after structural relaxation.

a b c (Å): 4.353 4.533 11.229
angles (deg): 90.00 90.00 90.00
Sites, in units of the cell vectors:
As: 0.000 0.000 0.995
Ba: 0.500 0.000 0.785
Ba: 0.500 0.500 0.093
Ba: 0.000 0.500 0.461

## Properties
For the calculated formation energy, the calculation gives -45 kJ/mol of atoms. As for the energy above the most stable polymorph in this dataset: 155 meV per atom. For the magnetic moment, the calculation gives 0.15 μB/atom.